The following is a GGA+U calculation of a relaxed structure of MnGeN2O, from the Alexandria database.

Structure (POSCAR):
```
MnGeN2O
1.0
3.831 0.000 0.000
0.000 3.831 0.000
0.000 0.000 3.773
O N Mn Ge
1 2 1 1
direct
0.000 0.000 0.500
0.500 0.000 0.000
0.000 0.500 0.000
0.500 0.500 0.500
0.000 0.000 0.000
```

Output
The total energy comes out at -6.35 eV per atom. As for the space group: P4/mmm. The calculation puts the volume at 11.08 A^3/atom. The value obtained for the density of states at the Fermi level is 2.0 states/eV per cell.